Entry from Alexandria: Ba2Ac2Hg3 after structural relaxation (GGA-PBE).

The calculation puts the energy of formation at -2.7 eV per formula unit.

The structure belongs to space group R-3m (No. 166, hexagonal axes); the cell edges are 5.7281, 5.7281 and 29.1284 Å and the angles 90.00°, 90.00° and 120.00°. The asymmetric unit holds Ba at (0.0000, 0.0000, 0.1245), Ac at (0.0000, 0.0000, 0.3720), Hg at (0.0000, 0.0000, 0.0000) and Hg at (0.0000, 0.0000, 0.2542).


Entry from Alexandria: Ac12AlNi6 after structural relaxation (GGA-PBE).

The calculation puts the energy of formation at -3.9 eV per formula unit.

The structure belongs to space group Im-3 (No. 204); the cell edges are 10.652, 10.652 and 10.652 Å and the angles 90.00°, 90.00° and 90.00°. The asymmetric unit holds Ac at (0.000, 0.181, 0.310), Al at (0.000, 0.000, 0.000) and Ni at (0.000, 0.382, 0.500).


Entry from Alexandria: Li2SiTeO after structural relaxation (GGA-PBE).

The formation energy (no corrections) comes out at 0.1752 eV per atom.

The structure belongs to space group P4/mmm (No. 123); the cell edges are 5.353, 5.353 and 4.083 Å and the angles 90.00°, 90.00° and 90.00°. The asymmetric unit holds Li at (0.000, 0.500, 0.000), Si at (0.000, 0.000, 0.500), Te at (0.500, 0.500, 0.000) and O at (0.500, 0.500, 0.500).


Entry from Alexandria: AsOsO3 after structural relaxation (GGA-PBE).

The formation energy (no corrections) comes out at -0.1529 eV per atom.

The structure belongs to space group Pm-3m (No. 221); the cell edges are 3.897, 3.897 and 3.897 Å and the angles 90.00°, 90.00° and 90.00°. The asymmetric unit holds As at (0.000, 0.000, 0.000), Os at (0.500, 0.500, 0.500) and O at (0.000, 0.500, 0.500).


Entry from Alexandria: Pm3Al3In after structural relaxation (GGA-PBE).

The calculation puts the energy of formation at -2.9 eV per formula unit.

The structure belongs to space group C2/m (No. 12); the cell edges are 11.387, 4.623 and 14.717 Å and the angles 90.00°, 109.12° and 90.00°. The asymmetric unit holds Pm at (0.028, 0.000, 0.377), Pm at (0.105, 0.000, 0.923), Pm at (0.239, 0.000, 0.217), Al at (0.027, 0.500, 0.226), Al at (0.105, 0.500, 0.073), Al at (0.123, 0.500, 0.546) and In at (0.240, 0.500, 0.390).


Entry from Alexandria: TbScAg2S4 after structural relaxation (GGA-PBE).

The formation energy (no corrections) comes out at -1.2116 eV per atom.

The structure belongs to space group P2/m (No. 10); the cell edges are 6.804, 3.913 and 6.847 Å and the angles 90.00°, 113.62° and 90.00°. The asymmetric unit holds Tb at (0.000, 0.000, 0.000), Sc at (0.500, 0.500, 0.000), Ag at (0.000, 0.500, 0.500), Ag at (0.500, 0.000, 0.500), S at (0.252, 0.000, 0.769) and S at (0.275, 0.500, 0.231).


The magnetic moment results, record by record, are as follows: 0.000; 0.000; 1.223; 1.368; 0.021; 0.000 μB/cell.